## Re4TeRh (PBE)

Data for a relaxed Re4TeRh crystal.

a = 5.2632 Å, b = 5.2632 Å, c = 5.2632 Å
α = 60.00°, β = 60.00°, γ = 60.00°
Atoms (fractional coordinates):
Re: 0.1232 0.1232 0.1232
Re: 0.1232 0.1232 0.6305
Re: 0.1232 0.6305 0.1232
Re: 0.6305 0.1232 0.1232
Te: 0.5000 0.5000 0.5000
Rh: 0.7500 0.7500 0.7500

Results
Energy relative to the elements, uncorrected in meV/atom: 786
Density of states at the Fermi level in states/eV/cell: 5.6

## Ca2LuIn (PBE)

Data for a relaxed Ca2LuIn crystal.

a = 4.1371 Å, b = 4.1371 Å, c = 7.3133 Å
α = 90.00°, β = 90.00°, γ = 90.00°
Atoms (fractional coordinates):
Ca: 0.0000 0.0000 0.2351
Ca: 0.0000 0.0000 0.7649
Lu: 0.5000 0.5000 0.5000
In: 0.5000 0.5000 0.0000

Results
Density of states at the Fermi level in states/eV/cell: 3.3
ΔE_f in kJ per mole of atoms: -9.7

## Tl3GaHg (PBE)

Data for a relaxed Tl3GaHg crystal.

a = 12.3083 Å, b = 12.3083 Å, c = 3.6778 Å
α = 90.00°, β = 90.00°, γ = 90.00°
Atoms (fractional coordinates):
Tl: 0.0148 0.3327 0.0000
Tl: 0.1295 0.8705 0.5000
Tl: 0.1673 0.5148 0.5000
Tl: 0.3327 0.0148 0.0000
Tl: 0.3705 0.3705 0.0000
Tl: 0.4852 0.8327 0.5000
Tl: 0.5148 0.1673 0.5000
Tl: 0.6295 0.6295 0.0000
Tl: 0.6673 0.9852 0.0000
Tl: 0.8327 0.4852 0.5000
Tl: 0.8705 0.1295 0.5000
Tl: 0.9852 0.6673 0.0000
Ga: 0.0818 0.0818 0.0000
Ga: 0.4182 0.5818 0.5000
Ga: 0.5818 0.4182 0.5000
Ga: 0.9182 0.9182 0.0000
Hg: 0.2147 0.2147 0.5000
Hg: 0.2853 0.7147 0.0000
Hg: 0.7147 0.2853 0.0000
Hg: 0.7853 0.7853 0.5000

Results
Density of states at the Fermi level in states/eV/cell: 6.9
ΔE_f in kJ per mole of atoms: 2.8

## FeRe2Pt (PBE)

Data for a relaxed FeRe2Pt crystal.

a = 2.7537 Å, b = 2.7537 Å, c = 7.6051 Å
α = 90.00°, β = 90.00°, γ = 90.00°
Atoms (fractional coordinates):
Fe: 0.0000 0.0000 0.0000
Re: 0.0000 0.0000 0.5139
Re: 0.5000 0.5000 0.7614
Pt: 0.5000 0.5000 0.2477

Results
Density of states at the Fermi level in states/eV/cell: 2.7
ΔE_f in kJ per mole of atoms: -0.4

## RbSn2Sb (PBE)

Data for a relaxed RbSn2Sb crystal.

a = 5.8051 Å, b = 12.1898 Å, c = 7.7470 Å
α = 90.00°, β = 90.00°, γ = 90.00°
Atoms (fractional coordinates):
Rb: 0.0000 0.0868 0.2500
Rb: 0.0000 0.9132 0.7500
Rb: 0.5000 0.4132 0.7500
Rb: 0.5000 0.5868 0.2500
Sn: 0.0000 0.3781 0.0531
Sn: 0.0000 0.3781 0.4469
Sn: 0.0000 0.6219 0.5531
Sn: 0.0000 0.6219 0.9469
Sn: 0.5000 0.1219 0.5531
Sn: 0.5000 0.1219 0.9469
Sn: 0.5000 0.8781 0.0531
Sn: 0.5000 0.8781 0.4469
Sb: 0.0000 0.2069 0.7500
Sb: 0.0000 0.7931 0.2500
Sb: 0.5000 0.2931 0.2500
Sb: 0.5000 0.7069 0.7500

Results
Energy relative to the elements, uncorrected in meV/atom: -78
Density of states at the Fermi level in states/eV/cell: 8.1

## Ga2BCl (PBE)

Data for a relaxed Ga2BCl crystal.

a = 5.5094 Å, b = 5.5094 Å, c = 10.4437 Å
α = 90.00°, β = 90.00°, γ = 90.00°
Atoms (fractional coordinates):
Ga: 0.1339 0.2500 0.1250
Ga: 0.2500 0.6339 0.3750
Ga: 0.2500 0.8661 0.8750
Ga: 0.3661 0.2500 0.6250
Ga: 0.6339 0.7500 0.6250
Ga: 0.7500 0.1339 0.8750
Ga: 0.7500 0.3661 0.3750
Ga: 0.8661 0.7500 0.1250
B: 0.0000 0.0000 0.0000
B: 0.0000 0.5000 0.2500
B: 0.5000 0.0000 0.7500
B: 0.5000 0.5000 0.5000
Cl: 0.0000 0.0000 0.5000
Cl: 0.0000 0.5000 0.7500
Cl: 0.5000 0.0000 0.2500
Cl: 0.5000 0.5000 0.0000

Results
Energy relative to the elements, uncorrected in meV/atom: -175
Density of states at the Fermi level in states/eV/cell: 0.0